Record 1
{
  "formula": "NaThGaS4",
  "functional": "PBE-GGA",
  "state": "relaxed",
  "lattice": [[-2.8474, -3.0477, -6.2947], [4.5488, -4.7792, -4.2728], [-1.9952, -7.6030, 0.0545]],
  "species": ["Na", "Na", "Th", "Th", "Ga", "Ga", "S", "S", "S", "S", "S", "S", "S", "S"],
  "frac_coords": [[0.5000, 0.0000, 0.5000], [0.0000, 0.0000, 0.5000], [0.0000, 0.0000, 0.0000], [0.0000, 0.5000, 0.5000], [0.6450, 0.6050, 0.1050], [0.3550, 0.3950, 0.8950], [0.7507, 0.7344, 0.7642], [0.2493, 0.7358, 0.7656], [0.7507, 0.2642, 0.2344], [0.2493, 0.2656, 0.2358], [0.2584, 0.7433, 0.2433], [0.7550, 0.7433, 0.2433], [0.2450, 0.2567, 0.7567], [0.7416, 0.2567, 0.7567]],
  "e_form_raw_ev_per_atom": -1.2419,
  "magnetic_moment_mub_per_fu": 0.000,
  "dft_energy_ev_per_atom": -5.281
}

Record 2
{
  "formula": "FeNi2H",
  "functional": "PBE-GGA",
  "state": "relaxed",
  "lattice": [[0.5413, -3.5904, -1.2381], [-2.5527, -1.6201, -2.3614], [0.9202, -0.6460, -3.6679]],
  "species": ["Ni", "Ni", "Fe", "H"],
  "frac_coords": [[0.2500, 0.2500, 0.2500], [0.7500, 0.7500, 0.7500], [0.5000, 0.5000, 0.5000], [0.0000, 0.0000, 0.0000]],
  "magnetic_moment_mub_per_fu": 3.834,
  "dft_energy_ev_per_atom": -5.343,
  "relative_energy_ev_per_atom": 0.521
}

Record 3
{
  "formula": "CaPrEu",
  "functional": "PBE-GGA",
  "state": "relaxed",
  "lattice": [[-0.6410, 3.0845, -2.1290], [-2.4433, -0.9505, 2.7540], [4.8791, 5.2532, 6.1419]],
  "species": ["Eu", "Pr", "Ca"],
  "frac_coords": [[0.6667, 0.3333, 0.3269], [0.0000, 0.0000, 0.0012], [0.3333, 0.6667, 0.6719]],
  "delta_e_f_mev_per_atom": 47,
  "magnetic_moment_mub_per_fu": 7.618,
  "dft_energy_ev_per_atom": -5.638,
  "relative_energy_ev_per_atom": 0.000
}